The following is a DFT calculation (PBE) of crystalline Be2HgSe at its relaxed geometry.

Lattice parameters (Å, degrees): 5.842 5.842 5.991 60.82 60.82 90.00
Positions (direct):
Be  0.875  0.835  0.750
Be  0.375  0.415  0.750
Be  0.165  0.625  0.250
Be  0.585  0.125  0.250
Hg  0.750  0.250  0.500
Hg  0.000  0.000  0.000
Se  0.500  0.500  0.000
Se  0.250  0.750  0.500

Symmetry: I-42d, No. 122
Total moment, μB per cell: 0.00
Energy relative to the elements, uncorrected, eV/atom: 0.089
ΔE to the lowest computed polymorph, meV per atom: 52

=====

The following is a DFT calculation (PBE) of crystalline BeHgSe2 at its relaxed geometry.

Lattice parameters (Å, degrees): 6.664 4.012 15.603 90.00 90.00 90.00
Positions (direct):
Se  0.619  0.750  0.928
Se  0.381  0.250  0.072
Se  0.284  0.750  0.325
Se  0.119  0.750  0.572
Se  0.784  0.750  0.175
Se  0.881  0.250  0.428
Se  0.216  0.250  0.825
Se  0.716  0.250  0.675
Be  0.562  0.750  0.072
Be  0.062  0.750  0.428
Be  0.438  0.250  0.928
Be  0.938  0.250  0.572
Hg  0.485  0.750  0.631
Hg  0.015  0.250  0.131
Hg  0.515  0.250  0.369
Hg  0.985  0.750  0.869

Symmetry: Pnma, No. 62
Total moment, μB per cell: 0.00
Energy relative to the elements, uncorrected, eV/atom: -0.377
ΔE to the lowest computed polymorph, meV per atom: 93

=====

The following is a DFT calculation (PBE) of crystalline Be2HgSe at its relaxed geometry.

Lattice parameters (Å, degrees): 4.917 4.917 2.658 90.00 90.00 90.06
Positions (direct):
Se  0.000  0.500  0.500
Hg  0.500  0.000  0.500
Be  0.000  0.000  0.000
Be  0.500  0.500  0.000

Symmetry: Cmmm, No. 65
Total moment, μB per cell: 0.00
Energy relative to the elements, uncorrected, eV/atom: 0.633
ΔE to the lowest computed polymorph, meV per atom: 596

=====

The following is a DFT calculation (PBE) of crystalline BeHgSe2 at its relaxed geometry.

Lattice parameters (Å, degrees): 4.816 4.816 4.816 60.00 60.00 60.00
Positions (direct):
Hg  0.750  0.750  0.750
Se  0.250  0.250  0.250
Se  0.000  0.000  0.000
Be  0.500  0.500  0.500

Symmetry: F-43m, No. 216
Total moment, μB per cell: 0.00
Energy relative to the elements, uncorrected, eV/atom: 0.666
ΔE to the lowest computed polymorph, meV per atom: 1136

=====

Q: Look up the total moment of the second one.
A: 0.00 μB per cell